{"formula": "K3V2Cl3F4", "functional": "PBE with a Hubbard U", "state": "optimized geometry", "lattice_angstrom": [[4.2243, 0.0000, 0.0000], [0.0000, 5.0305, 0.0000], [-2.1121, -2.5152, 11.9042]], "species": ["K", "K", "K", "V", "V", "Cl", "Cl", "Cl", "F", "F", "F", "F"], "fractional_positions": [[0.5023, 0.5000, 0.0000], [0.3075, 0.3053, 0.6106], [0.6969, 0.6947, 0.3894], [0.1135, 0.1112, 0.2224], [0.8911, 0.8888, 0.7776], [0.0023, 0.0000, 0.0000], [0.1044, 0.6021, 0.2043], [0.9001, 0.3979, 0.7957], [0.3881, 0.8858, 0.7715], [0.2010, 0.1985, 0.3970], [0.8040, 0.8015, 0.6030], [0.6166, 0.1142, 0.2285]], "final_energy_ev_per_atom": -4.813}